A plane-wave DFT calculation with PBE was carried out for a relaxed structure of Ca2Mg2In3.

Computed properties:
Energy of formation from the pure elements   -219 meV per atom
DOS at the Fermi energy   0.50 states/eV/atom
Total magnetization   0.00 Bohr magnetons per cell

a b c (Å): 4.5836 23.8217 3.3975
angles (deg): 90.00 90.00 90.00
Space group Cmmm (No. 65)
Unique sites:
Ca 0.0000 0.0746 0.0000
Mg 0.0000 0.2113 0.0000
In 0.0000 0.3405 0.5000
In 0.0000 0.5000 0.5000